First-principles (GGA+U) data for a geometry-optimized CsTl2CoF6 structure, as listed in Alexandria via LeMat-Bulk.

Lattice parameters (Å, degrees): 5.962 9.156 7.638 90.00 90.00 90.00
Atoms (fractional coordinates):
Cs (0.250, 0.250, 0.165)
Cs (0.750, 0.750, 0.835)
Tl (0.250, 0.039, 0.670)
Tl (0.250, 0.461, 0.670)
Tl (0.750, 0.539, 0.330)
Tl (0.750, 0.961, 0.330)
Co (0.250, 0.750, 0.321)
Co (0.750, 0.250, 0.679)
F (0.022, 0.750, 0.494)
F (0.024, 0.750, 0.151)
F (0.250, 0.544, 0.324)
F (0.250, 0.956, 0.324)
F (0.476, 0.750, 0.151)
F (0.478, 0.750, 0.494)
F (0.522, 0.250, 0.506)
F (0.524, 0.250, 0.849)
F (0.750, 0.044, 0.676)
F (0.750, 0.456, 0.676)
F (0.976, 0.250, 0.849)
F (0.978, 0.250, 0.506)

E   -4.247 eV/atom
M_tot   0.000 μB per formula unit